Entry 1:
DFT (PBE-GGA) results for a relaxed structure of TaTlCo2.

Cell: 6.890 6.890 5.696 Å, 90.00 90.00 90.00°
Space group I-42d (No. 122)
Symmetry-distinct sites (fractional):
Ta  0.000  0.000  0.000 (multiplicity 4)
Tl  0.000  0.000  0.500 (multiplicity 4)
Co  0.213  0.750  0.125 (multiplicity 8)

Computed properties:
- crystal system = tetragonal
- DOS(E_F) (states/eV per atom) = 0.35
- energy relative to the elements (eV per atom) = 0.64
- energy above the most stable polymorph in this dataset (eV per atom) = 0.530

***

Entry 2:
DFT (PBE-GGA) results for a relaxed structure of TaVW2.

Cell: 2.773 4.465 5.237 Å, 90.03 99.59 90.14°
Space group P-1 (No. 2)
Symmetry-distinct sites (fractional):
Ta  0.000  0.000  0.000 (multiplicity 1)
V  0.500  0.000  0.500 (multiplicity 1)
W  0.255  0.500  0.745 (multiplicity 2)

Computed properties:
- crystal system = triclinic
- DOS(E_F) (states/eV per atom) = 0.92
- energy relative to the elements (eV per atom) = -0.05
- energy above the most stable polymorph in this dataset (eV per atom) = 0.012

***

Entry 3:
DFT (PBE-GGA) results for a relaxed structure of LaPmEr2.

Cell: 8.126 8.126 8.126 Å, 90.00 90.00 90.00°
Space group Fm-3m (No. 225)
Symmetry-distinct sites (fractional):
La  0.000  0.000  0.000 (multiplicity 4)
Pm  0.000  0.000  0.500 (multiplicity 4)
Er  0.250  0.250  0.250 (multiplicity 8)

Computed properties:
- crystal system = cubic
- DOS(E_F) (states/eV per atom) = 1.79
- energy relative to the elements (eV per atom) = 0.09
- energy above the most stable polymorph in this dataset (eV per atom) = 0.078

***

Entry 4:
DFT (PBE-GGA) results for a relaxed structure of KLa2H.

Cell: 7.693 7.693 9.493 Å, 90.00 90.00 90.00°
Space group I-42d (No. 122)
Symmetry-distinct sites (fractional):
K  0.000  0.000  0.000 (multiplicity 4)
La  0.080  0.750  0.625 (multiplicity 8)
H  0.000  0.000  0.500 (multiplicity 4)

Computed properties:
- crystal system = tetragonal
- DOS(E_F) (states/eV per atom) = 0.53
- energy above the most stable polymorph in this dataset (eV per atom) = 0.137

***

Entry 5:
DFT (PBE-GGA) results for a relaxed structure of TaSb2HI.

Cell: 4.387 4.387 5.417 Å, 90.00 90.00 90.00°
Space group P4/mmm (No. 123)
Symmetry-distinct sites (fractional):
Ta  0.000  0.000  0.000 (multiplicity 1)
Sb  0.000  0.500  0.500 (multiplicity 2)
H  0.500  0.500  0.500 (multiplicity 1)
I  0.500  0.500  0.000 (multiplicity 1)

Computed properties:
- crystal system = tetragonal
- DOS(E_F) (states/eV per atom) = 0.76
- energy above the most stable polymorph in this dataset (eV per atom) = 0.154

***

Entry 6:
DFT (PBE-GGA) results for a relaxed structure of DyHo3Pt4.

Cell: 3.763 6.607 15.230 Å, 90.00 90.00 90.00°
Space group Immm (No. 71)
Symmetry-distinct sites (fractional):
Dy  0.000  0.000  0.000 (multiplicity 2)
Ho  0.000  0.000  0.500 (multiplicity 2)
Ho  0.000  0.500  0.299 (multiplicity 4)
Pt  0.000  0.294  0.129 (multiplicity 8)

Computed properties:
- crystal system = orthorhombic
- DOS(E_F) (states/eV per atom) = 0.62
- energy relative to the elements (eV per atom) = -1.05

***

Entry 7:
DFT (PBE-GGA) results for a relaxed structure of TaVRh.

Cell: 8.027 4.354 5.323 Å, 90.00 95.96 90.00°
Space group C2/m (No. 12)
Symmetry-distinct sites (fractional):
Ta  0.153  0.000  0.321 (multiplicity 4)
V  0.000  0.500  0.000 (multiplicity 2)
V  0.000  0.500  0.500 (multiplicity 2)
Rh  0.185  0.000  0.821 (multiplicity 4)

Computed properties:
- crystal system = monoclinic
- DOS(E_F) (states/eV per atom) = 1.11
- energy relative to the elements (eV per atom) = -0.24
- energy above the most stable polymorph in this dataset (eV per atom) = 0.085

***

Entry 8:
DFT (PBE-GGA) results for a relaxed structure of PaTl2Br8.

Cell: 22.754 5.057 7.458 Å, 90.00 107.74 90.00°
Space group C2/m (No. 12)
Symmetry-distinct sites (fractional):
Pa  0.000  0.000  0.000 (multiplicity 2)
Tl  0.179  0.500  0.574 (multiplicity 4)
Br  0.011  0.500  0.796 (multiplicity 4)
Br  0.080  0.000  0.380 (multiplicity 4)
Br  0.113  0.000  0.949 (multiplicity 4)
Br  0.243  0.500  0.266 (multiplicity 4)

Computed properties:
- crystal system = monoclinic
- E_form (uncorrected) (kJ/mol of atoms) = -93.20
- DOS(E_F) (states/eV per atom) = 0.64
- energy above the most stable polymorph in this dataset (eV per atom) = 0.049

***

Entry 9:
DFT (PBE-GGA) results for a relaxed structure of Rb3Ho3PtO8.

Cell: 6.7946 6.7946 19.7440 Å, 90.00 90.00 120.00°
Space group R-3m (No. 166, hexagonal axes)
Symmetry-distinct sites (fractional):
Rb  0.0000  0.5000  0.0000 (multiplicity 9)
Ho  0.0000  0.5000  0.5000 (multiplicity 9)
Pt  0.0000  0.0000  0.5000 (multiplicity 3)
O  0.0000  0.0000  0.2234 (multiplicity 6)
O  0.0221  0.5111  0.2220 (multiplicity 18)

Computed properties:
- crystal system = trigonal
- E_form (uncorrected) (kJ/mol of atoms) = -221.55
- DOS(E_F) (states/eV per atom) = 0.00

***

Entry 10:
DFT (PBE-GGA) results for a relaxed structure of HPdI4.

Cell: 6.830 18.276 7.146 Å, 90.00 103.54 90.00°
Space group C2/c (No. 15)
Symmetry-distinct sites (fractional):
H  0.000  0.162  0.250 (multiplicity 4)
Pd  0.000  0.443  0.750 (multiplicity 4)
I  0.217  0.330  0.630 (multiplicity 8)
I  0.238  0.453  0.114 (multiplicity 8)

Computed properties:
- crystal system = monoclinic
- DOS(E_F) (states/eV per atom) = 0.61
- VASP energy (eV per atom) = -2.4987

***

Entry 11:
DFT (PBE-GGA) results for a relaxed structure of Pr2Al4SiAu3.

Cell: 4.433 4.433 10.374 Å, 90.00 90.00 90.00°
Space group P-4m2 (No. 115)
Symmetry-distinct sites (fractional):
Pr  0.000  0.500  0.244 (multiplicity 2)
Al  0.000  0.000  0.500 (multiplicity 1)
Al  0.000  0.500  0.871 (multiplicity 2)
Al  0.500  0.500  0.500 (multiplicity 1)
Si  0.500  0.500  0.000 (multiplicity 1)
Au  0.000  0.000  0.000 (multiplicity 1)
Au  0.000  0.500  0.630 (multiplicity 2)

Computed properties:
- crystal system = tetragonal
- E_form (uncorrected) (kJ/mol of atoms) = -65.85
- DOS(E_F) (states/eV per atom) = 0.28

***

Entry 12:
DFT (PBE-GGA) results for a relaxed structure of Ti3BiN.

Cell: 3.216 12.660 8.001 Å, 90.00 90.00 90.00°
Space group Cmcm (No. 63)
Symmetry-distinct sites (fractional):
Ti  0.000  0.042  0.250 (multiplicity 4)
Ti  0.000  0.399  0.060 (multiplicity 8)
Bi  0.000  0.262  0.750 (multiplicity 4)
N  0.000  0.000  0.000 (multiplicity 4)

Computed properties:
- crystal system = orthorhombic
- E_form (uncorrected) (kJ/mol of atoms) = -79.90
- DOS(E_F) (states/eV per atom) = 0.74